{
  "formula": "RbVF3",
  "functional": "GGA+U",
  "state": "optimized geometry",
  "crystal_system": "trigonal",
  "total_energy_ev_per_cell": -52.29,
  "lattice": [[3.9227, 0.0000, 5.7160], [-1.9613, 3.3972, 5.7160], [-1.9613, -3.3972, 5.7160]],
  "species": ["F", "F", "F", "F", "F", "F", "V", "V", "Rb", "Rb"],
  "frac_coords": [[0.9673, 0.5327, 0.2500], [0.7500, 0.0327, 0.4673], [0.2500, 0.9673, 0.5327], [0.0327, 0.4673, 0.7500], [0.5327, 0.2500, 0.9673], [0.4673, 0.7500, 0.0327], [0.7500, 0.7500, 0.7500], [0.2500, 0.2500, 0.2500], [0.0000, 0.0000, 0.0000], [0.5000, 0.5000, 0.5000]]
}